Below is a relaxed structure of AgH3Rh, with properties calculated at the GGA-PBE level.

Output
The value obtained for the energy above the most stable polymorph in this dataset is 6 kJ/mol of formula units.

The structure in CIF format:
```
data_AgH3Rh
_cell_length_a 2.8926
_cell_length_b 5.1636
_cell_length_c 5.9796
_cell_angle_alpha 85.36
_cell_angle_beta 89.75
_cell_angle_gamma 89.51
_space_group_name_H-M_alt 'P 1'
_space_group_IT_number 1
_space_group_name_Hall 'P 1'
loop_
_atom_site_label
_atom_site_type_symbol
_atom_site_fract_x
_atom_site_fract_y
_atom_site_fract_z
_atom_site_occupancy
Ag1 Ag 0.0000 0.0000 0.0000 1
Ag2 Ag 0.4886 0.9040 0.4754 1
H1 H 0.0049 0.6972 0.2232 1
H2 H 0.0059 0.5779 0.6257 1
H3 H 0.0113 0.3208 0.1448 1
H4 H 0.0118 0.1767 0.6913 1
H5 H 0.5072 0.6178 0.8873 1
H6 H 0.5164 0.2961 0.4137 1
Rh1 Rh 0.5077 0.5081 0.1612 1
Rh2 Rh 0.5087 0.3868 0.6796 1
```